# Na4Dy3InSe8

A relaxed Na4Dy3InSe8 crystal (PBE, Alexandria via LeMat-Bulk).

```
data_Na4Dy3InSe8
_cell_length_a 8.2380
_cell_length_b 8.2380
_cell_length_c 21.1103
_cell_angle_alpha 90.00
_cell_angle_beta 90.00
_cell_angle_gamma 120.00
_space_group_name_H-M_alt 'R -3 m'
_space_group_IT_number 166
_space_group_name_Hall '-R 3 2"'
loop_
_atom_site_label
_atom_site_type_symbol
_atom_site_fract_x
_atom_site_fract_y
_atom_site_fract_z
_atom_site_occupancy
Na1 Na 0.0000 0.0000 0.0000 1
Na2 Na 0.0000 0.5000 0.0000 1
Dy1 Dy 0.0000 0.5000 0.5000 1
In1 In 0.0000 0.0000 0.5000 1
Se1 Se 0.0000 0.0000 0.2429 1
Se2 Se 0.0053 0.5027 0.2428 1
```

Values from the calculation:
M_tot (μB per formula unit): 0.00
Formation energy from raw total energies (eV per atom): -1.46